1) The following is a PBE-GGA calculation of a relaxed LuInW crystal, from OQMD.

The structure belongs to space group F-43m (No. 216); the cell edges are 6.8094, 6.8094 and 6.8094 Å and the angles 90.00°, 90.00° and 90.00°. The distinct sites, in fractional coordinates, are Lu at (0.0000, 0.0000, 0.0000), In at (0.2500, 0.2500, 0.7500) and W at (0.2500, 0.2500, 0.2500).

***

2) The following is a PBE-GGA calculation of a relaxed LuInW crystal, from OQMD.

The structure belongs to space group F-43m (No. 216); the cell edges are 6.7509, 6.7509 and 6.7509 Å and the angles 90.00°, 90.00° and 90.00°. The distinct sites, in fractional coordinates, are Lu at (0.0000, 0.0000, 0.0000), In at (0.0000, 0.0000, 0.5000) and W at (0.2500, 0.2500, 0.7500).

***

Least stable structure: 1)

***

1) The following is a PBE-GGA calculation of a relaxed MgNbInNi crystal, from OQMD.

The structure belongs to space group F-43m (No. 216); the cell edges are 6.5367, 6.5367 and 6.5367 Å and the angles 90.00°, 90.00° and 90.00°. The distinct sites, in fractional coordinates, are Mg at (0.0000, 0.0000, 0.0000), Nb at (0.2500, 0.2500, 0.2500), In at (0.0000, 0.0000, 0.5000) and Ni at (0.2500, 0.2500, 0.7500).

***

2) The following is a PBE-GGA calculation of a relaxed MgNbInNi crystal, from OQMD.

The structure belongs to space group F-43m (No. 216); the cell edges are 6.4633, 6.4633 and 6.4633 Å and the angles 90.00°, 90.00° and 90.00°. The distinct sites, in fractional coordinates, are Mg at (0.0000, 0.0000, 0.0000), Nb at (0.2500, 0.2500, 0.7500), In at (0.2500, 0.2500, 0.2500) and Ni at (0.0000, 0.0000, 0.5000).

***

Least stable structure: 1)

***

1) The following is a PBE-GGA calculation of a relaxed MgNbInOs crystal, from OQMD.

The structure belongs to space group F-43m (No. 216); the cell edges are 6.5069, 6.5069 and 6.5069 Å and the angles 90.00°, 90.00° and 90.00°. The distinct sites, in fractional coordinates, are Mg at (0.0000, 0.0000, 0.0000), Nb at (0.2500, 0.2500, 0.2500), In at (0.2500, 0.2500, 0.7500) and Os at (0.0000, 0.0000, 0.5000).

***

2) The following is a PBE-GGA calculation of a relaxed MgNbInOs crystal, from OQMD.

The structure belongs to space group F-43m (No. 216); the cell edges are 6.5396, 6.5396 and 6.5396 Å and the angles 90.00°, 90.00° and 90.00°. The distinct sites, in fractional coordinates, are Mg at (0.0000, 0.0000, 0.0000), Nb at (0.2500, 0.2500, 0.2500), In at (0.0000, 0.0000, 0.5000) and Os at (0.2500, 0.2500, 0.7500).

***

Least stable structure: 2)

***

1) The following is a PBE-GGA calculation of a relaxed MgTaInNi crystal, from OQMD.

The structure belongs to space group F-43m (No. 216); the cell edges are 6.4705, 6.4705 and 6.4705 Å and the angles 90.00°, 90.00° and 90.00°. The distinct sites, in fractional coordinates, are Mg at (0.0000, 0.0000, 0.0000), Ta at (0.2500, 0.2500, 0.7500), In at (0.2500, 0.2500, 0.2500) and Ni at (0.0000, 0.0000, 0.5000).

***

2) The following is a PBE-GGA calculation of a relaxed MgTaInNi crystal, from OQMD.

The structure belongs to space group F-43m (No. 216); the cell edges are 6.5316, 6.5316 and 6.5316 Å and the angles 90.00°, 90.00° and 90.00°. The distinct sites, in fractional coordinates, are Mg at (0.0000, 0.0000, 0.0000), Ta at (0.2500, 0.2500, 0.2500), In at (0.0000, 0.0000, 0.5000) and Ni at (0.2500, 0.2500, 0.7500).

***

Least stable structure: 2)

***

1) The following is a PBE-GGA calculation of a relaxed MgZnInNi crystal, from OQMD.

The structure belongs to space group F-43m (No. 216); the cell edges are 6.3862, 6.3862 and 6.3862 Å and the angles 90.00°, 90.00° and 90.00°. The distinct sites, in fractional coordinates, are Mg at (0.0000, 0.0000, 0.0000), Zn at (0.2500, 0.2500, 0.7500), In at (0.0000, 0.0000, 0.5000) and Ni at (0.2500, 0.2500, 0.2500).

***

2) The following is a PBE-GGA calculation of a relaxed MgZnInNi crystal, from OQMD.

The structure belongs to space group F-43m (No. 216); the cell edges are 6.3743, 6.3743 and 6.3743 Å and the angles 90.00°, 90.00° and 90.00°. The distinct sites, in fractional coordinates, are Mg at (0.0000, 0.0000, 0.0000), Zn at (0.2500, 0.2500, 0.7500), In at (0.2500, 0.2500, 0.2500) and Ni at (0.0000, 0.0000, 0.5000).

***

Least stable structure: 2)

***

1) The following is a PBE-GGA calculation of a relaxed MgInPd2 crystal, from OQMD.

The structure belongs to space group Fm-3m (No. 225); the cell edges are 6.4616, 6.4616 and 6.4616 Å and the angles 90.00°, 90.00° and 90.00°. The distinct sites, in fractional coordinates, are Mg at (0.0000, 0.0000, 0.0000), In at (0.0000, 0.0000, 0.5000) and Pd at (0.2500, 0.2500, 0.2500).

***

2) The following is a PBE-GGA calculation of a relaxed MgInPd2 crystal, from OQMD.

The structure belongs to space group P6_3/mmc (No. 194); the cell edges are 4.5705, 4.5705 and 8.1992 Å and the angles 90.00°, 90.00° and 120.00°. The distinct sites, in fractional coordinates, are Mg at (0.3333, 0.6667, 0.2500), In at (0.0000, 0.0000, 0.0000) and Pd at (0.3333, 0.6667, 0.5815).

***

Least stable structure: 2)

***

1) The following is a PBE-GGA calculation of a relaxed MgInPd2 crystal, from OQMD.

The structure belongs to space group P4/mmm (No. 123); the cell edges are 4.5211, 4.5211 and 3.3255 Å and the angles 90.00°, 90.00° and 90.00°. The distinct sites, in fractional coordinates, are Mg at (0.0000, 0.0000, 0.0000), In at (0.5000, 0.5000, 0.0000) and Pd at (0.0000, 0.5000, 0.5000).

***

2) The following is a PBE-GGA calculation of a relaxed MgInPd2 crystal, from OQMD.

The structure belongs to space group P6_3/mmc (No. 194); the cell edges are 4.4685, 4.4685 and 8.3380 Å and the angles 90.00°, 90.00° and 120.00°. The distinct sites, in fractional coordinates, are Mg at (0.0000, 0.0000, 0.0000), In at (0.3333, 0.6667, 0.2500) and Pd at (0.3333, 0.6667, 0.5852).

***

3) The following is a PBE-GGA calculation of a relaxed MgInPd2 crystal, from OQMD.

The structure belongs to space group I4/mmm (No. 139); the cell edges are 4.5849, 4.5849 and 6.4394 Å and the angles 90.00°, 90.00° and 90.00°. The distinct sites, in fractional coordinates, are Mg at (0.0000, 0.0000, 0.0000), In at (0.0000, 0.0000, 0.5000) and Pd at (0.0000, 0.5000, 0.2500).

***

4) The following is a PBE-GGA calculation of a relaxed MgInPd2 crystal, from OQMD.

The structure belongs to space group P6_3/mmc (No. 194); the cell edges are 4.6458, 4.6458 and 7.9782 Å and the angles 90.00°, 90.00° and 120.00°. The distinct sites, in fractional coordinates, are Mg at (0.0000, 0.0000, 0.2500), In at (0.3333, 0.6667, 0.2500) and Pd at (0.3333, 0.6667, 0.5841).

***

Least stable structure: 4)

***

1) The following is a PBE-GGA calculation of a relaxed MgInPd2 crystal, from OQMD.

The structure belongs to space group Cmmm (No. 65); the cell edges are 6.3392, 6.3608 and 3.3595 Å and the angles 90.00°, 90.00° and 90.00°. The distinct sites, in fractional coordinates, are Mg at (0.0000, 0.0000, 0.0000), In at (0.0000, 0.5000, 0.0000) and Pd at (0.2500, 0.2500, 0.5000).

***

2) The following is a PBE-GGA calculation of a relaxed MgInPd2 crystal, from OQMD.

The structure belongs to space group F-43m (No. 216); the cell edges are 6.4816, 6.4816 and 6.4816 Å and the angles 90.00°, 90.00° and 90.00°. The distinct sites, in fractional coordinates, are Mg at (0.0000, 0.0000, 0.0000), In at (0.2500, 0.2500, 0.7500), Pd at (0.0000, 0.0000, 0.5000) and Pd at (0.2500, 0.2500, 0.2500).

***

Least stable structure: 2)

***

1) The following is a PBE-GGA calculation of a relaxed NaInMoOs crystal, from OQMD.

The structure belongs to space group F-43m (No. 216); the cell edges are 6.4902, 6.4902 and 6.4902 Å and the angles 90.00°, 90.00° and 90.00°. The distinct sites, in fractional coordinates, are Na at (0.0000, 0.0000, 0.0000), In at (0.2500, 0.2500, 0.2500), Mo at (0.2500, 0.2500, 0.7500) and Os at (0.0000, 0.0000, 0.5000).

***

2) The following is a PBE-GGA calculation of a relaxed NaInMoOs crystal, from OQMD.

The structure belongs to space group F-43m (No. 216); the cell edges are 6.4761, 6.4761 and 6.4761 Å and the angles 90.00°, 90.00° and 90.00°. The distinct sites, in fractional coordinates, are Na at (0.0000, 0.0000, 0.0000), In at (0.2500, 0.2500, 0.7500), Mo at (0.0000, 0.0000, 0.5000) and Os at (0.2500, 0.2500, 0.2500).

***

Least stable structure: 2)

***

1) The following is a PBE-GGA calculation of a relaxed InNiMoPt crystal, from OQMD.

The structure belongs to space group F-43m (No. 216); the cell edges are 6.3267, 6.3267 and 6.3267 Å and the angles 90.00°, 90.00° and 90.00°. The distinct sites, in fractional coordinates, are In at (0.0000, 0.0000, 0.0000), Ni at (0.2500, 0.2500, 0.2500), Mo at (0.2500, 0.2500, 0.7500) and Pt at (0.0000, 0.0000, 0.5000).

***

2) The following is a PBE-GGA calculation of a relaxed InNiMoPt crystal, from OQMD.

The structure belongs to space group F-43m (No. 216); the cell edges are 6.3276, 6.3276 and 6.3276 Å and the angles 90.00°, 90.00° and 90.00°. The distinct sites, in fractional coordinates, are In at (0.0000, 0.0000, 0.0000), Ni at (0.2500, 0.2500, 0.2500), Mo at (0.0000, 0.0000, 0.5000) and Pt at (0.2500, 0.2500, 0.7500).

***

Least stable structure: 1)

***

1) The following is a PBE-GGA calculation of a relaxed InOsNO crystal, from OQMD.

The structure belongs to space group P4/nmm (No. 129, origin choice 2); the cell edges are 4.2864, 4.2864 and 5.5011 Å and the angles 90.00°, 90.00° and 90.00°. The distinct sites, in fractional coordinates, are In at (0.2500, 0.7500, 0.0000), Os at (0.2500, 0.2500, 0.4685), N at (0.2500, 0.2500, 0.8198) and O at (0.2500, 0.7500, 0.5000).

***

2) The following is a PBE-GGA calculation of a relaxed InOsNO crystal, from OQMD.

The structure belongs to space group Pca2_1 (No. 29); the cell edges are 5.6966, 7.4385 and 4.9911 Å and the angles 90.00°, 90.00° and 90.00°. The distinct sites, in fractional coordinates, are In at (0.0417, 0.1459, 0.0000), Os at (0.1405, 0.6569, 0.0500), N at (0.0698, 0.1460, 0.4566) and O at (0.1207, 0.4920, 0.7292).

***

Least stable structure: 1)